No. 1
The following is a DFT calculation (PBE-GGA) of CaRe2Si after structural relaxation.

Lattice parameters (Å, degrees): 3.3557 4.3947 4.4726 90.00 90.00 90.00
Element x y z (fractional)
Ca1 0.0000 0.0000 0.0000
Re1 0.0000 0.5000 0.5000
Re2 0.5000 0.0000 0.5000
Si1 0.5000 0.5000 0.0000

The calculation puts the total energy at -29.9 eV per cell. Its crystal system is orthorhombic. The uncorrected formation energy comes out at 0.607 eV/atom.

No. 2
The following is a DFT calculation (PBE-GGA) of DyAgRh after structural relaxation.

Lattice parameters (Å, degrees): 5.3337 5.3337 5.3337 141.21 141.21 56.03
Element x y z (fractional)
Dy1 0.0000 0.0000 0.0000
Ag1 0.6859 0.6859 0.0000
Rh1 0.3489 0.3489 0.0000

The calculation puts the total energy at -16.0 eV per cell. The value obtained for the formation energy is -1.24 eV/f.u. Its energy above the lowest structure with this stoichiometry is 0.081 eV/atom. Its crystal system is tetragonal.

No. 3
The following is a DFT calculation (PBE-GGA) of Pa2GePbO8 after structural relaxation.

Lattice parameters (Å, degrees): 5.0102 5.0102 7.1068 90.00 90.00 92.96
Element x y z (fractional)
Pa1 0.0000 0.0000 0.2412
Pa2 0.0000 0.0000 0.7588
Ge1 0.5000 0.5000 0.0000
Pb1 0.5000 0.5000 0.5000
O1 0.1696 0.8304 0.5000
O2 0.1961 0.8039 0.0000
O3 0.3097 0.3097 0.1927
O4 0.3097 0.3097 0.8073
O5 0.6903 0.6903 0.1927
O6 0.6903 0.6903 0.8073
O7 0.8039 0.1961 0.0000
O8 0.8304 0.1696 0.5000

The calculation puts the total energy at -97.9 eV per cell. Its crystal system is orthorhombic. The uncorrected formation energy comes out at -2.577 eV/atom.

Repeat the first record exactly.
The following is a DFT calculation (PBE-GGA) of CaRe2Si after structural relaxation.

Lattice parameters (Å, degrees): 3.3557 4.3947 4.4726 90.00 90.00 90.00
Element x y z (fractional)
Ca1 0.0000 0.0000 0.0000
Re1 0.0000 0.5000 0.5000
Re2 0.5000 0.0000 0.5000
Si1 0.5000 0.5000 0.0000

The calculation puts the total energy at -29.9 eV per cell. Its crystal system is orthorhombic. The uncorrected formation energy comes out at 0.607 eV/atom.